1.
! CsBi2C2 (GGA-PBE, optimized geometry); values from VASP
! DOS(E_F): 1.822 states/eV/cell
! ΔE_f: 133 kJ/mol of atoms
! Offset from the most stable computed form: 0.280 eV/atom
! Space-group type: I4/mmm (139)
&SYSTEM
  ibrav = 0, nat = 5, ntyp = 3
/
ATOMIC_SPECIES
Cs 132.91 Cs.upf
Bi 208.98 Bi.upf
C 12.01 C.upf
ATOMIC_POSITIONS crystal
Cs 0.000 0.000 0.000
Bi 0.250 0.750 0.500
Bi 0.750 0.250 0.500
C 0.312 0.312 0.000
C 0.688 0.688 0.000
CELL_PARAMETERS angstrom
-2.356 2.356 6.698
2.356 -2.356 6.698
2.356 2.356 -6.698

2.
! HfReAs2 (GGA-PBE, optimized geometry); values from VASP
! DOS(E_F): 6.320 states/eV/cell
! ΔE_f: -15 kJ/mol of atoms
! Offset from the most stable computed form: 0.000 eV/atom
! Space-group type: Fm-3m (225)
&SYSTEM
  ibrav = 0, nat = 4, ntyp = 3
/
ATOMIC_SPECIES
Hf 178.49 Hf.upf
Re 186.21 Re.upf
As 74.92 As.upf
ATOMIC_POSITIONS crystal
Hf 0.000 0.000 0.000
Re 0.500 0.500 0.500
As 0.250 0.250 0.250
As 0.750 0.750 0.750
CELL_PARAMETERS angstrom
0.000 3.206 3.206
3.206 0.000 3.206
3.206 3.206 0.000

3.
! AsW3Au (GGA-PBE, optimized geometry); values from VASP
! DOS(E_F): 6.029 states/eV/cell
! ΔE_f: 155 kJ/mol of atoms
! Offset from the most stable computed form: 0.000 eV/atom
! Space-group type: Pm-3m (221)
&SYSTEM
  ibrav = 0, nat = 5, ntyp = 3
/
ATOMIC_SPECIES
As 74.92 As.upf
W 183.84 W.upf
Au 196.97 Au.upf
ATOMIC_POSITIONS crystal
As 0.000 0.000 0.000
W 0.000 0.000 0.500
W 0.000 0.500 0.000
W 0.500 0.000 0.000
Au 0.500 0.500 0.500
CELL_PARAMETERS angstrom
4.593 0.000 0.000
0.000 4.593 0.000
0.000 0.000 4.593

4.
! Li3TiF (GGA-PBE, optimized geometry); values from VASP
! DOS(E_F): 5.384 states/eV/cell
! Offset from the most stable computed form: 0.000 eV/atom
! Space-group type: Pm-3m (221)
! ΔE_f (raw): -527 meV per atom
&SYSTEM
  ibrav = 0, nat = 5, ntyp = 3
/
ATOMIC_SPECIES
Li 6.94 Li.upf
Ti 47.87 Ti.upf
F 19.00 F.upf
ATOMIC_POSITIONS crystal
Li 0.000 0.000 0.500
Li 0.000 0.500 0.000
Li 0.500 0.000 0.000
Ti 0.500 0.500 0.500
F 0.000 0.000 0.000
CELL_PARAMETERS angstrom
4.260 0.000 0.000
0.000 4.260 0.000
0.000 0.000 4.260